# Ag2MoRh

An optimized crystal structure of Ag2MoRh (PBE, the Alexandria database).

Properties
Formation energy, kJ/mol of atoms: 13.6
ΔE to the lowest computed polymorph, eV/atom: 0.023

Unit cell a=2.850 b=2.850 c=8.095 alpha=90.00 beta=90.00 gamma=90.00
Element x y z (fractional)
Ag 0.000 0.000 0.991
Ag 0.500 0.500 0.255
Rh 0.500 0.500 0.730
Mo 0.000 0.000 0.524

# MgTlIn2Au

An optimized crystal structure of MgTlIn2Au (PBE, the Alexandria database).

Properties
Formation energy, kJ/mol of atoms: 19.5

Unit cell a=5.385 b=5.642 c=5.385 alpha=90.00 beta=90.00 gamma=90.00
Element x y z (fractional)
Mg 0.500 0.500 0.500
In 0.000 0.000 0.500
In 0.500 0.000 0.000
Tl 0.000 0.500 0.000
Au 0.000 0.000 0.000

# Tb2PuAl

An optimized crystal structure of Tb2PuAl (PBE, the Alexandria database).

Properties
Formation energy, kJ/mol of atoms: -9.9
ΔE to the lowest computed polymorph, eV/atom: 0.000

Unit cell a=3.483 b=3.483 c=8.806 alpha=90.00 beta=90.00 gamma=90.00
Element x y z (fractional)
Tb 0.000 0.000 0.781
Tb 0.000 0.000 0.219
Al 0.500 0.500 0.000
Pu 0.500 0.500 0.500

# AcAs2Pd6

An optimized crystal structure of AcAs2Pd6 (PBE, the Alexandria database).

Properties
Formation energy, kJ/mol of atoms: -44.9

Unit cell a=5.779 b=5.779 c=6.511 alpha=90.00 beta=90.00 gamma=120.00
Element x y z (fractional)
Pd 0.000 0.500 0.217
Pd 0.000 0.500 0.783
Pd 0.500 0.000 0.783
Pd 0.500 0.000 0.217
Pd 0.500 0.500 0.783
Pd 0.500 0.500 0.217
As 0.333 0.667 0.500
As 0.667 0.333 0.500
Ac 0.000 0.000 0.000

# SmHoCuIr

An optimized crystal structure of SmHoCuIr (PBE, the Alexandria database).

Properties
Formation energy, kJ/mol of atoms: -53.3
ΔE to the lowest computed polymorph, eV/atom: 0.000

Unit cell a=3.872 b=4.336 c=5.597 alpha=90.00 beta=110.24 gamma=90.00
Element x y z (fractional)
Cu 0.572 0.500 0.145
Ho 0.864 0.500 0.727
Sm 0.142 0.000 0.284
Ir 0.422 0.000 0.844

# CuTcAg3

An optimized crystal structure of CuTcAg3 (PBE, the Alexandria database).

Properties
Formation energy, kJ/mol of atoms: 116.1
ΔE to the lowest computed polymorph, eV/atom: 0.000

Unit cell a=4.736 b=4.736 c=4.736 alpha=90.00 beta=90.00 gamma=90.00
Element x y z (fractional)
Ag 0.500 0.000 0.000
Ag 0.000 0.000 0.500
Ag 0.000 0.500 0.000
Tc 0.500 0.500 0.500
Cu 0.000 0.000 0.000

# Ac2Ni3IrPt12

An optimized crystal structure of Ac2Ni3IrPt12 (PBE, the Alexandria database).

Properties
Formation energy, kJ/mol of atoms: -8.6

Unit cell a=9.720 b=9.720 c=9.720 alpha=40.59 beta=40.59 gamma=40.59
Element x y z (fractional)
Pt 0.354 0.933 0.933
Pt 0.410 0.815 0.410
Pt 0.815 0.410 0.410
Pt 0.067 0.067 0.646
Pt 0.410 0.410 0.815
Pt 0.185 0.590 0.590
Pt 0.590 0.185 0.590
Pt 0.646 0.067 0.067
Pt 0.933 0.933 0.354
Pt 0.067 0.646 0.067
Pt 0.590 0.590 0.185
Pt 0.933 0.354 0.933
Ni 0.500 0.000 0.000
Ni 0.000 0.500 0.000
Ni 0.000 0.000 0.500
Ac 0.345 0.345 0.345
Ac 0.655 0.655 0.655
Ir 0.000 0.000 0.000

# CuGe2Au

An optimized crystal structure of CuGe2Au (PBE, the Alexandria database).

Properties
Formation energy, kJ/mol of atoms: 16.2
ΔE to the lowest computed polymorph, eV/atom: 0.025

Unit cell a=2.983 b=2.983 c=7.632 alpha=90.00 beta=90.00 gamma=90.00
Element x y z (fractional)
Ge 0.000 0.000 0.775
Ge 0.000 0.000 0.225
Au 0.500 0.500 0.500
Cu 0.500 0.500 0.000

# ErCuPbSe3

An optimized crystal structure of ErCuPbSe3 (PBE, the Alexandria database).

Properties
ΔE_f (raw), meV/atom: -1000

Unit cell a=4.053 b=8.549 c=9.052 alpha=104.31 beta=90.00 gamma=90.00
Element x y z (fractional)
Cu 0.250 0.078 0.581
Cu 0.750 0.922 0.419
Pb 0.750 0.811 0.758
Pb 0.250 0.189 0.242
Se 0.250 0.562 0.838
Se 0.250 0.774 0.487
Se 0.750 0.438 0.162
Se 0.750 0.226 0.513
Se 0.750 0.898 0.136
Se 0.250 0.102 0.864
Er 0.250 0.675 0.167
Er 0.750 0.325 0.833

# CrIr4Rh

An optimized crystal structure of CrIr4Rh (PBE, the Alexandria database).

Properties
Formation energy, kJ/mol of atoms: 41.9
ΔE to the lowest computed polymorph, eV/atom: 0.000

Unit cell a=5.301 b=4.790 c=7.890 alpha=90.00 beta=90.00 gamma=99.13
Element x y z (fractional)
Ir 0.185 0.233 0.469
Ir 0.050 0.590 0.250
Ir 0.185 0.233 0.031
Ir 0.809 0.047 0.250
Ir 0.815 0.767 0.969
Ir 0.815 0.767 0.531
Ir 0.191 0.953 0.750
Ir 0.950 0.410 0.750
Rh 0.545 0.528 0.250
Rh 0.455 0.472 0.750
Cr 0.354 0.996 0.250
Cr 0.646 0.004 0.750

# Cu2SeCl2

An optimized crystal structure of Cu2SeCl2 (PBE, the Alexandria database).

Properties
ΔE_f (raw), meV/atom: -349
ΔE to the lowest computed polymorph, eV/atom: 0.000

Unit cell a=5.765 b=6.783 c=7.340 alpha=51.74 beta=66.85 gamma=64.96
Element x y z (fractional)
Se 0.951 0.750 0.251
Se 0.049 0.250 0.749
Cu 0.870 0.324 0.456
Cu 0.130 0.676 0.544
Cu 0.349 0.823 0.956
Cu 0.651 0.177 0.044
Cl 0.258 0.067 0.272
Cl 0.598 0.432 0.227
Cl 0.742 0.933 0.728
Cl 0.402 0.568 0.773

# Ho2Be2GaPd5

An optimized crystal structure of Ho2Be2GaPd5 (PBE, the Alexandria database).

Properties
Formation energy, kJ/mol of atoms: -74.3

Unit cell a=3.441 b=9.591 c=9.591 alpha=90.00 beta=90.00 gamma=90.00
Element x y z (fractional)
Ga 0.000 0.000 0.000
Ga 0.000 0.500 0.500
Ho 0.000 0.677 0.177
Ho 0.000 0.823 0.677
Ho 0.000 0.323 0.823
Ho 0.000 0.177 0.323
Pd 0.500 0.432 0.287
Pd 0.500 0.932 0.213
Pd 0.500 0.213 0.068
Pd 0.500 0.500 0.000
Pd 0.500 0.000 0.500
Pd 0.500 0.787 0.932
Pd 0.500 0.713 0.432
Pd 0.500 0.287 0.568
Pd 0.500 0.568 0.713
Pd 0.500 0.068 0.787
Be 0.000 0.119 0.619
Be 0.000 0.381 0.119
Be 0.000 0.619 0.881
Be 0.000 0.881 0.381

The volume results, record by record, are as follows: 16.4, 32.7, 26.7, 20.9, 22.0, 21.2, 19.5, 17.0, 25.3, 16.5, 20.1, 15.8 A^3/atom.
The total magnetic moment results, record by record, are as follows: 0.0, 0.0, 6.2, 0.0, 0.0, 3.6, 2.2, 0.0, 0.0, 0.0, 0.0, 0.0 Bohr magnetons per cell.